AlAgHg4 | PBE-GGA | relaxed

Total DFT energy (no corrections) ... -0.939 eV per atom
DOS at the Fermi energy ... 3.6 states/eV/f.u.
ΔE_f ... 0.36 eV/atom

The structure in POSCAR format:
```
AlAgHg4
1.0
0.0000 4.1838 4.1838
4.1838 0.0000 4.1838
4.1838 4.1838 0.0000
Al Ag Hg
1 1 4
Cartesian
0.0000 0.0000 0.0000
2.0919 2.0919 2.0919
5.2278 3.1398 3.1398
3.1398 5.2278 3.1398
3.1398 3.1398 5.2278
5.2278 5.2278 5.2278
```